First-principles (PBE with a Hubbard U) data for a relaxed V3BrO crystal, as listed in Alexandria.

As for the crystal system: cubic. The electronic total energy is -0.15467 Ha/atom. As for the density: 3.38 g cm⁻³. For the calculated volume, the calculation gives 24.4 Å³ per atom.

The structure belongs to space group Pm-3m (No. 221); the cell edges are 4.961, 4.961 and 4.961 Å and the angles 90.00°, 90.00° and 90.00°. Symmetry generates all atoms from V at (0.000, 0.000, 0.500), Br at (0.000, 0.000, 0.000) and O at (0.500, 0.500, 0.500).